[1]
Entry from Alexandria via LeMat-Bulk: crystalline LiZnTc at its relaxed geometry (PBE).

Summary:
The size of the total moment comes out at 0.00 μB/f.u. As for the energy above the most stable polymorph in this dataset: 189 meV per atom.

Unit cell a=6.710 b=6.710 c=6.710 alpha=157.89 beta=157.89 gamma=31.47
Fractional positions:
Tc (0.331, 0.331, 0.000)
Li (0.001, 0.001, 0.000)
Zn (0.667, 0.667, 0.000)

=====

[2]
Entry from Alexandria via LeMat-Bulk: crystalline Li4ZnTc at its relaxed geometry (PBE).

Summary:
The size of the total moment comes out at 0.71 μB/f.u.

Unit cell a=4.862 b=4.862 c=4.862 alpha=60.00 beta=60.00 gamma=60.00
Last column: magnetic moment on the atom in μB.
Fractional positions:
Li (0.376, 0.872, 0.376)  -0.02
Tc (0.750, 0.750, 0.750)  0.80
Zn (0.000, 0.000, 0.000)  -0.03
Li (0.872, 0.376, 0.376)  -0.02
Li (0.376, 0.376, 0.872)  -0.02
Li (0.376, 0.376, 0.376)  -0.02

=====

[3]
Entry from Alexandria via LeMat-Bulk: crystalline LiZnTc2 at its relaxed geometry (PBE).

Summary:
The size of the total moment comes out at 0.00 μB/f.u.

Unit cell a=3.572 b=3.572 c=9.783 alpha=79.48 beta=79.48 gamma=90.00
Fractional positions:
Zn (0.750, 0.250, 0.500)
Li (0.250, 0.750, 0.500)
Tc (0.613, 0.125, 0.250)
Tc (0.375, 0.387, 0.750)
Li (0.500, 0.500, 0.000)
Zn (0.000, 0.000, 0.000)
Tc (0.875, 0.863, 0.750)
Tc (0.137, 0.625, 0.250)

=====

[4]
Entry from Alexandria via LeMat-Bulk: crystalline LiZnTc2 at its relaxed geometry (PBE).

Summary:
The size of the total moment comes out at 0.00 μB/f.u.

Unit cell a=2.552 b=2.552 c=8.804 alpha=90.00 beta=90.00 gamma=90.00
Fractional positions:
Zn (0.500, 0.500, 0.250)
Tc (0.000, 0.000, 0.006)
Li (0.500, 0.500, 0.750)
Tc (0.000, 0.000, 0.494)

=====

[5]
Entry from Alexandria via LeMat-Bulk: crystalline LiZnTc2 at its relaxed geometry (PBE).

Summary:
The size of the total moment comes out at 0.00 μB/f.u.

Unit cell a=4.273 b=4.273 c=4.273 alpha=120.40 beta=120.39 gamma=89.32
Fractional positions:
Tc (0.000, 0.000, 0.000)
Zn (0.500, 0.500, 0.000)
Tc (0.750, 0.250, 0.500)
Li (0.250, 0.750, 0.500)

=====

[6]
Entry from Alexandria via LeMat-Bulk: crystalline LiZrTc at its relaxed geometry (PBE).

Summary:
The size of the total moment comes out at 0.00 μB/f.u. As for the energy above the most stable polymorph in this dataset: 0 meV per atom.

Unit cell a=4.861 b=4.861 c=4.861 alpha=139.03 beta=139.03 gamma=59.33
Fractional positions:
Tc (0.337, 0.338, 0.999)
Zr (0.673, 0.672, 0.001)
Li (0.990, 0.990, 0.000)

=====

[7]
Entry from Alexandria via LeMat-Bulk: crystalline LiZr2Tc at its relaxed geometry (PBE).

Summary:
The size of the total moment comes out at 0.00 μB/f.u. As for the energy above the most stable polymorph in this dataset: 372 meV per atom.

Unit cell a=3.119 b=4.377 c=5.627 alpha=90.00 beta=90.00 gamma=90.00
Fractional positions:
Zr (0.500, 0.500, 0.272)
Tc (0.500, 0.500, 0.801)
Li (0.000, 0.000, 0.481)
Zr (0.000, 0.000, 0.946)

=====

[8]
Entry from Alexandria via LeMat-Bulk: crystalline LiZrTc4 at its relaxed geometry (PBE).

Summary:
The size of the total moment comes out at 0.00 μB/f.u.

Unit cell a=5.203 b=5.203 c=5.203 alpha=60.00 beta=60.00 gamma=60.00
Fractional positions:
Tc (0.374, 0.877, 0.374)
Li (0.000, 0.000, 0.000)
Tc (0.374, 0.374, 0.374)
Tc (0.877, 0.374, 0.374)
Zr (0.750, 0.750, 0.750)
Tc (0.374, 0.374, 0.877)

=====

[9]
Entry from Alexandria via LeMat-Bulk: crystalline LiZr2Tc at its relaxed geometry (PBE).

Summary:
The size of the total moment comes out at 0.00 μB/f.u. As for the energy above the most stable polymorph in this dataset: 506 meV per atom.

Unit cell a=7.252 b=7.252 c=5.888 alpha=51.99 beta=51.99 gamma=90.00
Fractional positions:
Li (0.250, 0.750, 0.500)
Zr (0.375, 0.368, 0.750)
Tc (0.000, 0.000, 0.000)
Zr (0.118, 0.625, 0.250)
Tc (0.750, 0.250, 0.500)
Zr (0.632, 0.125, 0.250)
Zr (0.875, 0.882, 0.750)
Li (0.500, 0.500, 0.000)

=====

[10]
Entry from Alexandria via LeMat-Bulk: crystalline LiZr5Tc4 at its relaxed geometry (PBE).

Summary:
The size of the total moment comes out at 0.00 μB/f.u.

Unit cell a=3.304 b=3.304 c=17.071 alpha=90.00 beta=90.00 gamma=90.00
Fractional positions:
Tc (0.000, 0.000, 0.403)
Tc (0.000, 0.000, 0.794)
Tc (0.000, 0.000, 0.597)
Zr (0.500, 0.500, 0.880)
Zr (0.500, 0.500, 0.500)
Tc (0.000, 0.000, 0.206)
Zr (0.500, 0.500, 0.120)
Li (0.000, 0.000, 0.000)
Zr (0.500, 0.500, 0.308)
Zr (0.500, 0.500, 0.692)

=====

[11]
Entry from Alexandria via LeMat-Bulk: crystalline LiZrTc at its relaxed geometry (PBE).

Summary:
The size of the total moment comes out at 0.00 μB/f.u. As for the energy above the most stable polymorph in this dataset: 120 meV per atom.

Unit cell a=7.324 b=7.099 c=2.936 alpha=82.58 beta=74.00 gamma=23.42
Fractional positions:
Zr (0.684, 0.684, 0.316)
Li (0.986, 0.986, 0.014)
Tc (0.330, 0.330, 0.670)

=====

[12]
Entry from Alexandria via LeMat-Bulk: crystalline LiZr2Tc at its relaxed geometry (PBE).

Summary:
The size of the total moment comes out at 0.00 μB/f.u. As for the energy above the most stable polymorph in this dataset: 228 meV per atom.

Unit cell a=5.647 b=5.647 c=5.647 alpha=145.11 beta=132.31 gamma=60.44
Fractional positions:
Tc (0.245, 0.745, 0.500)
Li (0.474, 0.474, 0.000)
Zr (0.030, 0.030, 0.000)
Zr (0.752, 0.252, 0.500)

=====

[13]
Entry from Alexandria via LeMat-Bulk: crystalline LiZr2Tc2 at its relaxed geometry (PBE).

Summary:
The size of the total moment comes out at 0.00 μB/f.u.

Unit cell a=7.433 b=7.433 c=3.379 alpha=90.00 beta=90.00 gamma=90.00
Fractional positions:
Tc (0.640, 0.140, 0.000)
Li (0.000, 0.000, 0.000)
Tc (0.860, 0.640, 0.000)
Tc (0.360, 0.860, 0.000)
Zr (0.341, 0.159, 0.500)
Li (0.500, 0.500, 0.000)
Zr (0.841, 0.341, 0.500)
Tc (0.140, 0.360, 0.000)
Zr (0.159, 0.659, 0.500)
Zr (0.659, 0.841, 0.500)

=====

[14]
Entry from Alexandria via LeMat-Bulk: crystalline LiZr2Tc at its relaxed geometry (PBE).

Summary:
The size of the total moment comes out at 0.00 μB/f.u. As for the energy above the most stable polymorph in this dataset: 218 meV per atom.

Unit cell a=3.035 b=3.035 c=9.520 alpha=90.00 beta=90.00 gamma=112.17
Fractional positions:
Zr (0.000, 0.000, 0.533)
Li (0.500, 0.500, 0.250)
Zr (0.000, 0.000, 0.967)
Tc (0.500, 0.500, 0.750)

=====

[15]
Entry from Alexandria via LeMat-Bulk: crystalline LiZrTc at its relaxed geometry (PBE).

Summary:
The size of the total moment comes out at 0.00 μB/f.u. As for the energy above the most stable polymorph in this dataset: 258 meV per atom.

Unit cell a=7.462 b=7.462 c=7.462 alpha=159.12 beta=159.12 gamma=29.70
Fractional positions:
Li (0.987, 0.987, 0.000)
Tc (0.339, 0.339, 0.000)
Zr (0.674, 0.674, 0.000)

=====

What calculated density values result from the calculations? In sequence: 6613; 3905; 7388; 7773; 8127; 6662; 6213; 8171; 6273; 7618; 5905; 6327; 6856; 5878; 6172 kg/m³.
What N(E_F) values result from the calculations? In sequence: 0.65; 0.79; 0.66; 0.76; 0.64; 0.30; 0.81; 0.81; 0.69; 0.91; 0.97; 1.06; 1.39; 1.19; 0.73 states/eV per atom.
What calculated formation energy values result from the calculations? In sequence: 0.1075; 0.3634; 0.4241; 0.2685; 0.0392; 0.0855; 0.1984; 0.0352; 0.3323; -0.2605; 0.2057; 0.0536; 0.0869; 0.0441; 0.3439 eV per atom.